# 1
4
Lattice="0.0000 3.3133 3.3133 3.3133 0.0000 3.3133 3.3133 3.3133 0.0000" Properties=species:S:1:pos:R:3 comment="NaYReTc (PBE, relaxed)" sg=F-43m de_polymorph_ev_per_fu=0.000 pbc="T T T"
Re 1.6566 1.6566 1.6566
Tc 3.3132 3.3132 3.3132
Na 4.9699 4.9699 4.9699
Y 0.0000 0.0000 0.0000

---

# 2
14
Lattice="4.1413 -4.1420 0.0000 -4.1413 0.0000 -4.1420 4.1413 4.1420 0.0000" Properties=species:S:1:pos:R:3 comment="Si2PdO4 (PBE, relaxed)" sg=Fd-3m final_energy_ry_per_atom=-0.47221 pbc="T T T"
O 2.9004 1.2412 -2.9007
O 3.3115 -0.8297 -0.8297
O 1.2408 2.9007 -2.9007
O 4.9711 0.8297 -0.8297
O -0.8298 0.8298 -3.3122
O 2.9004 2.9007 -1.2412
O 0.8298 -0.8298 -3.3122
O 1.2408 1.2412 -1.2412
Si 1.0353 1.0355 -3.1065
Si 3.1060 1.0355 -1.0355
Si 5.1766 -1.0355 -1.0355
Si -1.0353 -1.0355 -3.1065
Pd 0.0000 0.0000 0.0000
Pd 2.0706 -2.0710 -2.0710

---

# 3
4
Lattice="1.1638 -3.9587 -0.2938 -2.8545 -2.9916 -0.1204 -0.6552 -2.0937 -3.5071" Properties=species:S:1:pos:R:3 comment="BeInNi2 (PBE, relaxed)" sg=F-43m final_energy_ry_per_atom=-0.32200 pbc="T T T"
In -1.1729 -4.5220 -1.9606
Ni 0.0000 0.0000 0.0000
Ni -1.7594 -6.7831 -2.9409
Be -0.5865 -2.2610 -0.9803

---

# 4
21
Lattice="9.5794 0.0000 0.0000 -4.7897 8.2960 0.0000 0.0000 0.0000 3.1008" Properties=species:S:1:pos:R:3 comment="B2W4C (PBE, relaxed)" sg=P-62m de_polymorph_ev_per_fu=0.000 pbc="T T T"
W 0.8243 1.4277 1.5504
W 1.6844 6.1703 0.0000
W 6.4741 2.1258 0.0000
W 4.5014 4.5439 0.0000
W 3.3936 1.6264 0.0000
W -1.3961 6.6696 0.0000
W 7.9309 0.0000 1.5504
W -3.9654 6.8683 1.5504
W -2.5348 4.3904 1.5504
W -0.2883 3.7521 0.0000
W 5.0696 0.0000 1.5504
W 2.2549 3.9056 1.5504
C 1.5419 2.6706 0.0000
C -3.2478 5.6254 0.0000
C 6.4957 0.0000 0.0000
B 2.6807 0.0000 1.5504
B 0.0000 0.0000 0.0000
B 4.7897 2.7653 1.5504
B 3.4494 5.9745 1.5504
B 0.0000 5.5307 1.5504
B -1.3403 2.3215 1.5504

---

# 5
9
Lattice="-2.4742 -0.5457 -3.1730 -2.8740 -5.9002 3.2557 -2.9225 6.6204 1.1403" Properties=species:S:1:pos:R:3 comment="GdTm2Mg3Pt3 (PBE, relaxed)" sg=Amm2 final_energy_ry_per_atom=-0.36863 pbc="T T T"
Pt -0.0234 0.0029 0.0177
Pt -4.1360 2.2083 0.2472
Pt -4.1195 -2.0357 0.9642
Mg -3.4444 4.7142 -0.7230
Mg -3.4079 -4.7159 0.8702
Mg -2.6605 -0.0960 -0.5071
Tm -1.1956 2.7012 0.4678
Tm -1.1758 -2.4065 1.3307
Gd -3.4120 0.4240 2.5876

---

# 6
3
Lattice="0.2190 -4.9511 1.2988 -2.6002 -1.6967 4.0752 -4.1012 -3.0017 -0.6462" Properties=species:S:1:pos:R:3 comment="DyPuSb (PBE, relaxed)" sg=F-43m final_energy_ry_per_atom=-0.56062 pbc="T T T"
Dy 0.0000 0.0000 0.0000
Pu -1.6206 -2.4124 1.1820
Sb -4.8618 -7.2371 3.5459

---

# 7
11
Lattice="-1.9623 7.7694 4.7737 1.9623 -7.7694 4.7737 1.9623 7.7694 -4.7737" Properties=species:S:1:pos:R:3 comment="Dy2Er3Lu2Te2Pd2 (PBE, relaxed)" sg=Imm2 de_polymorph_ev_per_fu=0.000 pbc="T T T"
Pd 0.0000 11.8522 0.6231
Pd 0.0000 3.6866 0.6231
Dy 1.9623 -2.2480 2.2428
Dy 1.9623 2.2480 2.2428
Lu 1.9623 2.8279 -1.2002
Lu 0.0000 4.9415 3.5736
Te 0.0000 0.0000 3.2223
Te 0.0000 7.7694 2.2419
Er 1.9623 5.7474 0.7938
Er 0.0000 2.0220 5.5675
Er 0.0000 0.0000 9.5383

---

# 8
4
Lattice="-1.8741 -4.4001 -0.1231 2.6151 -3.6697 -1.6069 1.5514 -3.3468 3.0463" Properties=species:S:1:pos:R:3 comment="YRe2Te (PBE, relaxed)" sg=F-43m final_energy_ry_per_atom=-0.58197 pbc="T T T"
Re 1.7193 -8.5625 0.9872
Re 1.1462 -5.7083 0.6581
Te 0.5731 -2.8541 0.3291
Y 0.0000 0.0000 0.0000

---

# 9
3
Lattice="0.0000 3.2695 3.2695 3.2695 0.0000 3.2695 3.2695 3.2695 0.0000" Properties=species:S:1:pos:R:3 comment="NaLuOs (PBE, relaxed)" sg=F-43m de_polymorph_ev_per_fu=0.867 pbc="T T T"
Na 1.6347 1.6347 1.6347
Lu 0.0000 0.0000 0.0000
Os 4.9042 4.9042 4.9042

---

# 10
3
Lattice="3.5081 -2.9035 1.3720 3.0052 1.3556 3.4280 -0.1707 -2.0825 4.2724" Properties=species:S:1:pos:R:3 comment="PmScW (PBE, relaxed)" formation_enthalpy_0k_ev_per_atom=0.87 sg=F-43m de_polymorph_ev_per_fu=0.000 pbc="T T T"
Pm 1.5856 -0.9076 2.2681
Sc 4.7570 -2.7229 6.8043
W 0.0000 0.0000 0.0000

---

# 11
14
Lattice="-0.5461 -1.0016 4.1882 3.9890 0.7003 -1.5618 -0.7261 8.4113 1.9168" Properties=species:S:1:pos:R:3 comment="ErC6 (PBE, relaxed)" sg=P6_3/mmc final_energy_ry_per_atom=-0.62702 pbc="T T T"
C -0.3641 -0.6677 2.7919
C 2.2962 4.6725 -0.0827
C 0.9668 4.4391 0.4377
C 0.7848 4.1052 1.8340
C 1.9321 4.0048 2.7092
C 1.3299 0.2335 -0.5207
C 1.1478 -0.1004 0.8756
C 2.6592 0.4668 -1.0412
C -0.5451 3.8718 2.3547
C -0.1821 -0.3339 1.3962
C 2.2951 -0.2009 1.7508
C -0.7271 3.5380 3.7504
Er 2.2958 2.2358 0.8340
Er 0.4210 5.8742 3.7091

---

# 12
4
Lattice="0.0000 3.5026 3.5026 3.5026 0.0000 3.5026 3.5026 3.5026 0.0000" Properties=species:S:1:pos:R:3 comment="TmMgAgHg (PBE, relaxed)" sg=F-43m final_energy_ry_per_atom=-0.19623 pbc="T T T"
Ag 1.7513 1.7513 1.7513
Tm 0.0000 0.0000 0.0000
Mg 3.5026 3.5026 3.5026
Hg 5.2539 5.2539 5.2539